Entry from the Alexandria database: Zn3NiPd6 after structural relaxation (GGA-PBE).

abc: 7.430 4.388 9.373
angles: 90.00 107.94 90.00
Sites, in units of the cell vectors:
Zn (0.048, 0.250, 0.390)
Zn (0.140, 0.750, 0.214)
Zn (0.273, 0.250, 0.984)
Zn (0.727, 0.750, 0.016)
Zn (0.860, 0.250, 0.786)
Zn (0.952, 0.750, 0.610)
Ni (0.456, 0.250, 0.588)
Ni (0.544, 0.750, 0.412)
Pd (0.036, 0.750, 0.913)
Pd (0.151, 0.250, 0.684)
Pd (0.251, 0.750, 0.506)
Pd (0.348, 0.250, 0.299)
Pd (0.350, 0.750, 0.816)
Pd (0.427, 0.750, 0.122)
Pd (0.573, 0.250, 0.878)
Pd (0.650, 0.250, 0.184)
Pd (0.652, 0.750, 0.701)
Pd (0.749, 0.250, 0.494)
Pd (0.849, 0.750, 0.316)
Pd (0.964, 0.250, 0.087)

magnetic moment: 1.52 Bohr magnetons per cell
Fermi-level density of states: 15.14 states/eV/cell
space-group type: No. 11
energy of formation from the pure elements: -0.34 eV/atom